[1]
! Cu3Mo5, optimized geometry, DFT PBE; values from VASP
! SG = Cmmm (65)
! Excess energy over the best structure of this formula in the dataset = 0.000 eV per atom
! ΔE_f = 235 meV per atom
&SYSTEM
  ibrav = 0, nat = 8, ntyp = 2
/
ATOMIC_SPECIES
Cu 63.55 Cu.upf
Mo 95.94 Mo.upf
CELL_PARAMETERS angstrom
3.7730 -4.0429 0.0000
3.7730 4.0429 0.0000
0.0000 0.0000 3.7997
ATOMIC_POSITIONS crystal
Cu 0.0000 0.0000 0.0000
Cu 0.2427 0.2427 0.5000
Cu 0.7573 0.7573 0.5000
Mo 0.0000 0.5000 0.0000
Mo 0.2521 0.7479 0.5000
Mo 0.5000 0.0000 0.0000
Mo 0.5000 0.5000 0.0000
Mo 0.7479 0.2521 0.5000


[2]
! Li2LaCr, optimized geometry, DFT PBE; values from VASP
! SG = R-3m (166)
! Excess energy over the best structure of this formula in the dataset = 0.179 eV per atom
! ΔE_f = 531 meV per atom
&SYSTEM
  ibrav = 0, nat = 4, ntyp = 3
/
ATOMIC_SPECIES
Li 6.94 Li.upf
La 138.91 La.upf
Cr 52.00 Cr.upf
CELL_PARAMETERS angstrom
1.6042 0.9262 10.5807
-1.6042 0.9262 10.5807
0.0000 -1.8523 10.5807
ATOMIC_POSITIONS crystal
Li 0.2391 0.2391 0.2391
Li 0.7609 0.7609 0.7609
La 0.0000 0.0000 0.0000
Cr 0.5000 0.5000 0.5000


[3]
! InSb2Te, optimized geometry, DFT PBE; values from VASP
! SG = I-42d (122)
! Excess energy over the best structure of this formula in the dataset = 0.295 eV per atom
! Raw formation energy = 208 meV per atom
&SYSTEM
  ibrav = 0, nat = 8, ntyp = 3
/
ATOMIC_SPECIES
In 114.82 In.upf
Sb 121.76 Sb.upf
Te 127.60 Te.upf
CELL_PARAMETERS angstrom
-3.1516 3.1516 7.9216
3.1516 -3.1516 7.9216
3.1516 3.1516 -7.9216
ATOMIC_POSITIONS crystal
In 0.0000 0.0000 0.0000
In 0.7500 0.2500 0.5000
Sb 0.1185 0.6250 0.9935
Sb 0.3750 0.3685 0.4935
Sb 0.6315 0.1250 0.0065
Sb 0.8750 0.8815 0.5065
Te 0.2500 0.7500 0.5000
Te 0.5000 0.5000 0.0000


[4]
! Co2SiNi, optimized geometry, DFT PBE; values from VASP
! SG = C2/m (12)
! Raw formation energy = -120 meV per atom
&SYSTEM
  ibrav = 0, nat = 4, ntyp = 3
/
ATOMIC_SPECIES
Co 58.93 Co.upf
Si 28.09 Si.upf
Ni 58.69 Ni.upf
CELL_PARAMETERS angstrom
2.3892 -4.0896 0.0000
2.3892 4.0896 0.0000
-1.1240 0.0000 2.2598
ATOMIC_POSITIONS crystal
Co 0.0000 0.5000 0.0000
Co 0.5000 0.0000 0.0000
Si 0.0000 0.0000 0.5000
Ni 0.5000 0.5000 0.5000


[5]
! SrDyNi10, optimized geometry, DFT PBE; values from VASP
! SG = Pmmm (47)
! ΔE_f = -173 meV per atom
&SYSTEM
  ibrav = 0, nat = 12, ntyp = 3
/
ATOMIC_SPECIES
Sr 87.62 Sr.upf
Dy 162.50 Dy.upf
Ni 58.69 Ni.upf
CELL_PARAMETERS angstrom
3.9489 0.0000 0.0000
0.0000 4.9694 0.0000
0.0000 0.0000 8.6062
ATOMIC_POSITIONS crystal
Sr 0.0000 0.0000 0.0000
Dy 0.0000 0.5000 0.5000
Ni 0.0000 0.0000 0.3409
Ni 0.0000 0.0000 0.6591
Ni 0.0000 0.5000 0.1764
Ni 0.0000 0.5000 0.8236
Ni 0.5000 0.0000 0.5000
Ni 0.5000 0.2548 0.2584
Ni 0.5000 0.2548 0.7416
Ni 0.5000 0.5000 0.0000
Ni 0.5000 0.7452 0.2584
Ni 0.5000 0.7452 0.7416


[6]
! CrNiSe2, optimized geometry, DFT PBE; values from VASP
! SG = Amm2 (38)
! Excess energy over the best structure of this formula in the dataset = 0.096 eV per atom
! Raw formation energy = -259 meV per atom
&SYSTEM
  ibrav = 0, nat = 4, ntyp = 3
/
ATOMIC_SPECIES
Cr 52.00 Cr.upf
Ni 58.69 Ni.upf
Se 78.96 Se.upf
CELL_PARAMETERS angstrom
3.4113 0.0000 0.0000
0.0000 1.6837 5.7439
0.0000 -1.6837 5.7439
ATOMIC_POSITIONS crystal
Cr 0.0000 0.0000 0.0000
Ni 0.5000 0.1902 0.1902
Se 0.0000 0.6626 0.6626
Se 0.5000 0.4027 0.4027


[7]
! Mn2Cr2CuS6, optimized geometry, DFT PBE; values from VASP
! SG = C2/m (12)
! Raw formation energy = -524 meV per atom
&SYSTEM
  ibrav = 0, nat = 11, ntyp = 4
/
ATOMIC_SPECIES
Mn 54.94 Mn.upf
Cr 52.00 Cr.upf
Cu 63.55 Cu.upf
S 32.06 S.upf
CELL_PARAMETERS angstrom
3.0244 -5.4758 0.0000
3.0244 5.4758 0.0000
-2.0132 0.0000 5.7582
ATOMIC_POSITIONS crystal
Mn 0.1625 0.8375 0.0000
Mn 0.8375 0.1625 0.0000
Cr 0.3358 0.6642 0.5000
Cr 0.6642 0.3358 0.5000
Cu 0.0000 0.0000 0.5000
S 0.0658 0.4340 0.7411
S 0.2397 0.2397 0.2760
S 0.4340 0.0658 0.7411
S 0.5660 0.9342 0.2589
S 0.7603 0.7603 0.7240
S 0.9342 0.5660 0.2589


[8]
! CaAuF2, optimized geometry, DFT PBE; values from VASP
! SG = Fm-3m (225)
! Excess energy over the best structure of this formula in the dataset = 0.570 eV per atom
! Raw formation energy = -1893 meV per atom
&SYSTEM
  ibrav = 0, nat = 4, ntyp = 3
/
ATOMIC_SPECIES
Ca 40.08 Ca.upf
Au 196.97 Au.upf
F 19.00 F.upf
CELL_PARAMETERS angstrom
0.0000 3.1638 3.1638
3.1638 0.0000 3.1638
3.1638 3.1638 0.0000
ATOMIC_POSITIONS crystal
Ca 0.0000 0.0000 0.0000
Au 0.5000 0.5000 0.5000
F 0.2500 0.2500 0.2500
F 0.7500 0.7500 0.7500